[1]
Material: Tb2Cd3Pd4
Method: DFT, PBE
State: optimized geometry

The structure in POSCAR format:
```
Tb2Cd3Pd4
1.0
4.157 -2.380 0.000
4.157 2.380 0.000
-0.108 0.000 9.034
Tb Cd Pd
2 3 4
Direct
0.168 0.168 0.216 Tb
0.832 0.832 0.784 Tb
0.165 0.165 0.576 Cd
0.500 0.500 0.000 Cd
0.835 0.835 0.424 Cd
0.166 0.166 0.895 Pd
0.498 0.498 0.657 Pd
0.502 0.502 0.343 Pd
0.834 0.834 0.105 Pd
```

The total magnetic moment comes out at 0.0 μB/f.u. As for the calculated formation energy: -0.62 eV/atom. The space group is No. 12.


[2]
Material: TbCd4Pd5
Method: DFT, PBE
State: optimized geometry

The structure in POSCAR format:
```
TbCd4Pd5
1.0
3.466 0.000 0.000
0.000 3.466 0.000
0.000 0.000 15.309
Tb Cd Pd
1 4 5
Direct
0.000 0.000 0.000 Tb
0.000 0.000 0.209 Cd
0.000 0.000 0.402 Cd
0.000 0.000 0.598 Cd
0.000 0.000 0.791 Cd
0.500 0.500 0.107 Pd
0.500 0.500 0.304 Pd
0.500 0.500 0.500 Pd
0.500 0.500 0.696 Pd
0.500 0.500 0.893 Pd
```

The total magnetic moment comes out at 0.0 μB/f.u. As for the calculated formation energy: -0.50 eV/atom. The space group is No. 123.


[3]
Material: TbCd4Pd15
Method: DFT, PBE
State: optimized geometry

The structure in POSCAR format:
```
TbCd4Pd15
1.0
4.062 0.000 0.000
0.000 4.062 0.000
0.000 0.000 20.165
Tb Cd Pd
1 4 15
Direct
0.000 0.000 0.000 Tb
0.000 0.000 0.204 Cd
0.000 0.000 0.401 Cd
0.000 0.000 0.599 Cd
0.000 0.000 0.796 Cd
0.000 0.500 0.104 Pd
0.000 0.500 0.303 Pd
0.000 0.500 0.500 Pd
0.000 0.500 0.697 Pd
0.000 0.500 0.896 Pd
0.500 0.000 0.104 Pd
0.500 0.000 0.303 Pd
0.500 0.000 0.500 Pd
0.500 0.000 0.697 Pd
0.500 0.000 0.896 Pd
0.500 0.500 0.000 Pd
0.500 0.500 0.203 Pd
0.500 0.500 0.402 Pd
0.500 0.500 0.598 Pd
0.500 0.500 0.797 Pd
```

The total magnetic moment comes out at 0.0 μB/f.u. As for the calculated formation energy: -0.36 eV/atom. The space group is No. 123.


[4]
Material: Tb4Cd5Pd2
Method: DFT, PBE
State: optimized geometry

The structure in POSCAR format:
```
Tb4Cd5Pd2
1.0
7.697 0.000 0.000
0.000 3.600 0.000
-0.626 0.000 9.743
Tb Cd Pd
4 5 2
Direct
0.167 0.000 0.357 Tb
0.233 0.000 0.946 Tb
0.767 0.000 0.054 Tb
0.833 0.000 0.643 Tb
0.188 0.500 0.652 Cd
0.450 0.500 0.185 Cd
0.500 0.500 0.500 Cd
0.550 0.500 0.815 Cd
0.812 0.500 0.348 Cd
0.067 0.500 0.139 Pd
0.933 0.500 0.861 Pd
```

The total magnetic moment comes out at 0.0 μB/f.u. As for the calculated formation energy: -0.50 eV/atom. The space group is No. 10.


[5]
Material: Tb2CdPd3
Method: DFT, PBE
State: optimized geometry

The structure in POSCAR format:
```
Tb2CdPd3
1.0
7.430 0.000 0.000
0.000 3.829 0.000
0.000 0.000 17.643
Tb Cd Pd
8 4 12
Direct
0.107 0.250 0.211 Tb
0.154 0.250 0.427 Tb
0.346 0.750 0.927 Tb
0.393 0.750 0.711 Tb
0.607 0.250 0.289 Tb
0.654 0.250 0.073 Tb
0.846 0.750 0.573 Tb
0.893 0.750 0.789 Tb
0.015 0.750 0.064 Cd
0.485 0.250 0.564 Cd
0.515 0.750 0.436 Cd
0.985 0.250 0.936 Cd
0.084 0.250 0.659 Pd
0.205 0.250 0.810 Pd
0.221 0.750 0.552 Pd
0.279 0.250 0.052 Pd
0.295 0.750 0.310 Pd
0.416 0.750 0.159 Pd
0.584 0.250 0.841 Pd
0.705 0.250 0.690 Pd
0.721 0.750 0.948 Pd
0.779 0.250 0.448 Pd
0.795 0.750 0.190 Pd
0.916 0.750 0.341 Pd
```

The total magnetic moment comes out at 0.0 μB/f.u. As for the calculated formation energy: -0.77 eV/atom. As for the excess energy over the best structure of this formula in the dataset: 0.0 meV per atom. The space group is No. 62.


[6]
Material: TbCd2Pd2
Method: DFT, PBE
State: optimized geometry

The structure in POSCAR format:
```
TbCd2Pd2
1.0
5.450 0.000 0.000
0.000 4.673 0.000
-2.637 0.000 8.461
Tb Cd Pd
2 4 4
Direct
0.077 0.250 0.262 Tb
0.923 0.750 0.738 Tb
0.341 0.250 0.960 Cd
0.410 0.250 0.633 Cd
0.590 0.750 0.367 Cd
0.659 0.750 0.040 Cd
0.142 0.750 0.471 Pd
0.175 0.750 0.086 Pd
0.825 0.250 0.914 Pd
0.858 0.250 0.529 Pd
```

The total magnetic moment comes out at 0.0 μB/f.u. As for the calculated formation energy: -0.55 eV/atom. As for the excess energy over the best structure of this formula in the dataset: 0.0 meV per atom. The space group is No. 11.


Question: Which of these has the highest calculated formation energy?
Answer: TbCd4Pd15


Copy entry 2 word for word.
Material: TbCd4Pd5
Method: DFT, PBE
State: optimized geometry

The structure in POSCAR format:
```
TbCd4Pd5
1.0
3.466 0.000 0.000
0.000 3.466 0.000
0.000 0.000 15.309
Tb Cd Pd
1 4 5
Direct
0.000 0.000 0.000 Tb
0.000 0.000 0.209 Cd
0.000 0.000 0.402 Cd
0.000 0.000 0.598 Cd
0.000 0.000 0.791 Cd
0.500 0.500 0.107 Pd
0.500 0.500 0.304 Pd
0.500 0.500 0.500 Pd
0.500 0.500 0.696 Pd
0.500 0.500 0.893 Pd
```

The total magnetic moment comes out at 0.0 μB/f.u. As for the calculated formation energy: -0.50 eV/atom. The space group is No. 123.


Copy entry 2 word for word.
Material: TbCd4Pd5
Method: DFT, PBE
State: optimized geometry

The structure in POSCAR format:
```
TbCd4Pd5
1.0
3.466 0.000 0.000
0.000 3.466 0.000
0.000 0.000 15.309
Tb Cd Pd
1 4 5
Direct
0.000 0.000 0.000 Tb
0.000 0.000 0.209 Cd
0.000 0.000 0.402 Cd
0.000 0.000 0.598 Cd
0.000 0.000 0.791 Cd
0.500 0.500 0.107 Pd
0.500 0.500 0.304 Pd
0.500 0.500 0.500 Pd
0.500 0.500 0.696 Pd
0.500 0.500 0.893 Pd
```

The total magnetic moment comes out at 0.0 μB/f.u. As for the calculated formation energy: -0.50 eV/atom. The space group is No. 123.